[1]
The following is a DFT calculation (PBE-GGA) of a geometry-optimized CaSm5Hg6 structure.

Energy of formation from the pure elements   -493 meV per atom
ρ   10.1 g cm⁻³
Energy   -2.777 eV/atom
Fermi-level density of states   1.018 states/eV/atom

a b c (Å): 5.359 7.614 8.453
angles (deg): 90.00 71.52 90.00
Each line ends with the local moment (μB).
Sites, in units of the cell vectors:
1 Hg 0.500 0.252 0.000  0.01
2 Hg 0.500 0.748 0.000  0.01
3 Hg 0.832 0.249 0.335  0.01
4 Hg 0.168 0.751 0.665  0.01
5 Hg 0.833 0.751 0.335  0.01
6 Hg 0.167 0.249 0.665  0.01
7 Sm 0.333 0.500 0.334  0.12
8 Sm 0.000 0.500 0.000  0.10
9 Sm 0.336 0.000 0.328  0.03
10 Sm 0.667 0.500 0.666  0.12
11 Sm 0.664 0.000 0.672  0.03
12 Ca 0.000 0.000 0.000  0.00

***

[2]
The following is a DFT calculation (PBE-GGA) of a geometry-optimized SrCa2SmHg4 structure.

Energy of formation from the pure elements   -530 meV per atom
ρ   8.2 g cm⁻³
Energy   -1.982 eV/atom
Fermi-level density of states   0.805 states/eV/atom

a b c (Å): 5.425 5.425 9.422
angles (deg): 73.27 73.27 60.00
Sites, in units of the cell vectors:
1 Hg 0.622 0.622 0.135
2 Hg 0.378 0.378 0.865
3 Hg 0.128 0.128 0.617
4 Hg 0.872 0.872 0.383
5 Ca 0.250 0.250 0.250
6 Ca 0.750 0.750 0.750
7 Sr 0.000 0.000 0.000
8 Sm 0.500 0.500 0.500

***

[3]
The following is a DFT calculation (PBE-GGA) of a geometry-optimized SrCaSm2Hg4 structure.

Energy of formation from the pure elements   -503 meV per atom
ρ   9.1 g cm⁻³
Energy   -2.294 eV/atom
Fermi-level density of states   0.809 states/eV/atom

a b c (Å): 5.414 5.414 9.403
angles (deg): 73.27 73.27 60.00
Sites, in units of the cell vectors:
1 Ca 0.500 0.500 0.500
2 Hg 0.127 0.127 0.620
3 Hg 0.622 0.622 0.133
4 Hg 0.378 0.378 0.867
5 Hg 0.873 0.873 0.380
6 Sm 0.752 0.752 0.745
7 Sm 0.248 0.248 0.255
8 Sr 0.000 0.000 0.000

***

[4]
The following is a DFT calculation (PBE-GGA) of a geometry-optimized CaTb2SmHg4 structure.

Energy of formation from the pure elements   -506 meV per atom
ρ   10.3 g cm⁻³
Energy   -2.655 eV/atom
Fermi-level density of states   0.764 states/eV/atom

a b c (Å): 5.311 5.311 9.213
angles (deg): 73.25 73.25 60.00
Sites, in units of the cell vectors:
1 Sm 0.000 0.000 0.000
2 Hg 0.625 0.625 0.124
3 Hg 0.876 0.876 0.373
4 Hg 0.375 0.375 0.876
5 Hg 0.124 0.124 0.627
6 Tb 0.248 0.248 0.256
7 Tb 0.752 0.752 0.744
8 Ca 0.500 0.500 0.500

***

[5]
The following is a DFT calculation (PBE-GGA) of a geometry-optimized CaTbSm2Hg4 structure.

Energy of formation from the pure elements   -513 meV per atom
ρ   10.1 g cm⁻³
Energy   -2.672 eV/atom
Fermi-level density of states   0.672 states/eV/atom

a b c (Å): 5.339 5.339 9.238
angles (deg): 73.20 73.20 60.00
Sites, in units of the cell vectors:
1 Sm 0.252 0.252 0.245
2 Sm 0.748 0.748 0.755
3 Hg 0.873 0.873 0.380
4 Hg 0.623 0.623 0.130
5 Hg 0.127 0.127 0.620
6 Hg 0.377 0.377 0.870
7 Ca 0.000 0.000 0.000
8 Tb 0.500 0.500 0.500

***

[6]
The following is a DFT calculation (PBE-GGA) of a geometry-optimized CaSmTm2Hg4 structure.

Energy of formation from the pure elements   -494 meV per atom
ρ   10.7 g cm⁻³
Energy   -2.603 eV/atom
Fermi-level density of states   0.641 states/eV/atom

a b c (Å): 5.263 5.263 9.140
angles (deg): 73.27 73.27 60.00
Sites, in units of the cell vectors:
1 Hg 0.875 0.875 0.374
2 Hg 0.375 0.375 0.874
3 Hg 0.625 0.625 0.126
4 Hg 0.125 0.125 0.626
5 Ca 0.500 0.500 0.500
6 Sm 0.000 0.000 0.000
7 Tm 0.752 0.752 0.745
8 Tm 0.248 0.248 0.255

***

[7]
The following is a DFT calculation (PBE-GGA) of a geometry-optimized CaSm2YHg4 structure.

Energy of formation from the pure elements   -521 meV per atom
ρ   9.5 g cm⁻³
Energy   -2.910 eV/atom
Fermi-level density of states   0.590 states/eV/atom

a b c (Å): 5.333 5.333 9.239
angles (deg): 73.23 73.23 60.00
Sites, in units of the cell vectors:
1 Ca 0.000 0.000 0.000
2 Hg 0.873 0.873 0.380
3 Hg 0.623 0.623 0.130
4 Hg 0.377 0.377 0.870
5 Hg 0.127 0.127 0.620
6 Sm 0.748 0.748 0.755
7 Sm 0.252 0.252 0.245
8 Y 0.500 0.500 0.500

***

[8]
The following is a DFT calculation (PBE-GGA) of a geometry-optimized CaSmY2Hg4 structure.

Energy of formation from the pure elements   -517 meV per atom
ρ   9.2 g cm⁻³
Energy   -3.124 eV/atom
Fermi-level density of states   0.725 states/eV/atom

a b c (Å): 5.304 5.304 9.204
angles (deg): 73.25 73.25 60.00
Sites, in units of the cell vectors:
1 Sm 0.500 0.500 0.500
2 Hg 0.376 0.376 0.873
3 Hg 0.125 0.125 0.624
4 Hg 0.624 0.624 0.127
5 Hg 0.875 0.875 0.376
6 Y 0.252 0.252 0.244
7 Y 0.748 0.748 0.756
8 Ca 0.000 0.000 0.000